1.
## Ti2Ni7Sb2Rh (GGA-PBE)

Data for a relaxed Ti2Ni7Sb2Rh crystal.

CIF file:
```
data_Ti2Ni7Sb2Rh
_chemical_formula_sum 'Ti4 Ni14 Sb4 Rh2'
_space_group_name_H-M_alt 'C 1 2/m 1'
_space_group_IT_number 12
_space_group_name_Hall '-C 2y'
_cell_length_a 4.8967
_cell_length_b 4.8963
_cell_length_c 14.8213
_cell_angle_alpha 90.00
_cell_angle_beta 99.37
_cell_angle_gamma 90.00
loop_
_atom_site_label
_atom_site_type_symbol
_atom_site_fract_x
_atom_site_fract_y
_atom_site_fract_z
_atom_site_occupancy
Ti1 Ti 0.1236 0.0000 0.2518 1
Ni1 Ni 0.0000 0.0000 0.0000 1
Ni2 Ni 0.1853 0.2500 0.8676 1
Ni3 Ni 0.2250 0.0000 0.4520 1
Sb1 Sb 0.1861 0.5000 0.3750 1
Rh1 Rh 0.0000 0.5000 0.0000 1
```

Summary:
Energy relative to the elements, uncorrected: -66 meV/atom

***

2.
## TiNiSbRh (GGA-PBE)

Data for a relaxed TiNiSbRh crystal.

CIF file:
```
data_TiNiSbRh
_chemical_formula_sum 'Ti4 Ni4 Sb4 Rh4'
_space_group_name_H-M_alt 'F -4 3 m'
_space_group_IT_number 216
_space_group_name_Hall 'F -4 2 3'
_cell_length_a 6.2672
_cell_length_b 6.2672
_cell_length_c 6.2672
_cell_angle_alpha 90.00
_cell_angle_beta 90.00
_cell_angle_gamma 90.00
loop_
_atom_site_label
_atom_site_type_symbol
_atom_site_fract_x
_atom_site_fract_y
_atom_site_fract_z
_atom_site_occupancy
Ti1 Ti 0.0000 0.0000 0.0000 1
Ni1 Ni 0.2500 0.2500 0.7500 1
Sb1 Sb 0.0000 0.0000 0.5000 1
Rh1 Rh 0.2500 0.2500 0.2500 1
```

Summary:
Energy relative to the elements, uncorrected: -459 meV/atom

***

no.,spin magnetization (μB/atom)
1,0.135
2,0.000